#w
Density functional theory data (PBEsol) for a relaxed BaNi2Ir crystal.

Size of the total moment (μB/cell): 2.071
Calculated volume (Å³/atom): 20.30

The structure in CIF format:
```
data_BaNi2Ir
_chemical_formula_sum 'Ba3 Ni6 Ir3'
_cell_length_a 4.1799
_cell_length_b 4.1799
_cell_length_c 16.0939
_cell_angle_alpha 90.00
_cell_angle_beta 90.00
_cell_angle_gamma 120.00
_space_group_name_H-M_alt 'R -3 m'
_space_group_IT_number 166
_space_group_name_Hall '-R 3 2"'
loop_
_atom_site_label
_atom_site_fract_x
_atom_site_fract_y
_atom_site_fract_z
_atom_site_occupancy
Ba1 0.0000 0.0000 0.0000 1
Ni1 0.0000 0.0000 0.1823 1
Ir1 0.0000 0.0000 0.5000 1
```

***

#x
Density functional theory data (PBEsol) for a relaxed BaNi2Ir crystal.

Size of the total moment (μB/cell): 0.935
Calculated volume (Å³/atom): 20.61

The structure in CIF format:
```
data_BaNi2Ir
_chemical_formula_sum 'Ba3 Ni6 Ir3'
_cell_length_a 4.1730
_cell_length_b 4.1730
_cell_length_c 16.3941
_cell_angle_alpha 90.00
_cell_angle_beta 90.00
_cell_angle_gamma 120.00
_space_group_name_H-M_alt 'R 3 m'
_space_group_IT_number 160
_space_group_name_Hall 'R 3 -2"'
loop_
_atom_site_label
_atom_site_fract_x
_atom_site_fract_y
_atom_site_fract_z
_atom_site_occupancy
Ba1 0.0000 0.0000 0.0000 1
Ni1 0.0000 0.0000 0.1783 1
Ni2 0.0000 0.0000 0.4943 1
Ir1 0.0000 0.0000 0.8165 1
```

***

Most stable: #w. Least stable: #x.

***

#w
Density functional theory data (PBEsol) for a relaxed OsRuRh2 crystal.

Size of the total moment (μB/cell): 0.000
Calculated volume (Å³/atom): 13.57

The structure in CIF format:
```
data_OsRuRh2
_chemical_formula_sum 'Os3 Ru3 Rh6'
_cell_length_a 2.6778
_cell_length_b 2.6778
_cell_length_c 26.2184
_cell_angle_alpha 90.00
_cell_angle_beta 90.00
_cell_angle_gamma 120.00
_space_group_name_H-M_alt 'R 3 m'
_space_group_IT_number 160
_space_group_name_Hall 'R 3 -2"'
loop_
_atom_site_label
_atom_site_fract_x
_atom_site_fract_y
_atom_site_fract_z
_atom_site_occupancy
Os1 0.0000 0.0000 0.0000 1
Ru1 0.0000 0.0000 0.2516 1
Rh1 0.0000 0.0000 0.5020 1
Rh2 0.0000 0.0000 0.7502 1
```

***

#x
Density functional theory data (PBEsol) for a relaxed OsRuRh2 crystal.

Size of the total moment (μB/cell): 0.000
Calculated volume (Å³/atom): 13.54

The structure in CIF format:
```
data_OsRuRh2
_chemical_formula_sum 'Os3 Ru3 Rh6'
_cell_length_a 2.6709
_cell_length_b 2.6709
_cell_length_c 26.3000
_cell_angle_alpha 90.00
_cell_angle_beta 90.00
_cell_angle_gamma 120.00
_space_group_name_H-M_alt 'R -3 m'
_space_group_IT_number 166
_space_group_name_Hall '-R 3 2"'
loop_
_atom_site_label
_atom_site_fract_x
_atom_site_fract_y
_atom_site_fract_z
_atom_site_occupancy
Os1 0.0000 0.0000 0.0000 1
Ru1 0.0000 0.0000 0.5000 1
Rh1 0.0000 0.0000 0.2498 1
```

***

Most stable: #w. Least stable: #x.

***

#w
Density functional theory data (PBEsol) for a relaxed In2BiH crystal.

Size of the total moment (μB/cell): 0.001
Calculated volume (Å³/atom): 23.05

The structure in CIF format:
```
data_In2BiH
_chemical_formula_sum 'In8 Bi4 H4'
_cell_length_a 7.1717
_cell_length_b 7.1717
_cell_length_c 7.1717
_cell_angle_alpha 90.00
_cell_angle_beta 90.00
_cell_angle_gamma 90.00
_space_group_name_H-M_alt 'F m -3 m'
_space_group_IT_number 225
_space_group_name_Hall '-F 4 2 3'
loop_
_atom_site_label
_atom_site_fract_x
_atom_site_fract_y
_atom_site_fract_z
_atom_site_occupancy
In1 0.2500 0.2500 0.2500 1
Bi1 0.0000 0.0000 0.0000 1
H1 0.0000 0.0000 0.5000 1
```

***

#x
Density functional theory data (PBEsol) for a relaxed In2BiH crystal.

Size of the total moment (μB/cell): 0.001
Calculated volume (Å³/atom): 24.35

The structure in CIF format:
```
data_In2BiH
_chemical_formula_sum 'In8 Bi4 H4'
_cell_length_a 5.5214
_cell_length_b 5.5214
_cell_length_c 12.7773
_cell_angle_alpha 90.00
_cell_angle_beta 90.00
_cell_angle_gamma 90.00
_space_group_name_H-M_alt 'I -4 2 d'
_space_group_IT_number 122
_space_group_name_Hall 'I -4 2bw'
loop_
_atom_site_label
_atom_site_fract_x
_atom_site_fract_y
_atom_site_fract_z
_atom_site_occupancy
In1 0.1098 0.2500 0.1250 1
Bi1 0.0000 0.0000 0.5000 1
H1 0.0000 0.0000 0.0000 1
```

***

Most stable: #x. Least stable: #w.

***

#w
Density functional theory data (PBEsol) for a relaxed Be2HgPb crystal.

Size of the total moment (μB/cell): 0.000
Calculated volume (Å³/atom): 17.08

The structure in CIF format:
```
data_Be2HgPb
_chemical_formula_sum 'Be4 Hg2 Pb2'
_cell_length_a 3.9325
_cell_length_b 3.8587
_cell_length_c 9.0070
_cell_angle_alpha 90.00
_cell_angle_beta 90.00
_cell_angle_gamma 90.00
_space_group_name_H-M_alt 'A m m 2'
_space_group_IT_number 38
loop_
_space_group_symop_operation_xyz
'x,y,z'
'-x,-y,z'
'-x,y,z'
'x,-y,z'
'x,y+1/2,z+1/2'
'-x,-y+1/2,z+1/2'
'-x,y+1/2,z+1/2'
'x,-y+1/2,z+1/2'
loop_
_atom_site_label
_atom_site_fract_x
_atom_site_fract_y
_atom_site_fract_z
_atom_site_occupancy
Be1 0.0000 0.0000 0.0000 1
Be2 0.5000 0.0000 0.1228 1
Hg1 0.0000 0.0000 0.7044 1
Pb1 0.5000 0.0000 0.4132 1
```

***

#x
Density functional theory data (PBEsol) for a relaxed Be2HgPb crystal.

Size of the total moment (μB/cell): 0.000
Calculated volume (Å³/atom): 18.25

The structure in CIF format:
```
data_Be2HgPb
_chemical_formula_sum 'Be4 Hg2 Pb2'
_cell_length_a 4.2366
_cell_length_b 5.3336
_cell_length_c 6.4603
_cell_angle_alpha 90.00
_cell_angle_beta 90.00
_cell_angle_gamma 90.00
_space_group_name_H-M_alt 'C m m m'
_space_group_IT_number 65
_space_group_name_Hall '-C 2 2'
loop_
_atom_site_label
_atom_site_fract_x
_atom_site_fract_y
_atom_site_fract_z
_atom_site_occupancy
Be1 0.0000 0.0000 0.1813 1
Hg1 0.0000 0.5000 0.0000 1
Pb1 0.0000 0.5000 0.5000 1
```

***

Most stable: #w. Least stable: #x.

***

#w
Density functional theory data (PBEsol) for a relaxed MgSc3 crystal.

Size of the total moment (μB/cell): 0.010
Calculated volume (Å³/atom): 23.42

The structure in CIF format:
```
data_MgSc3
_chemical_formula_sum 'Mg1 Sc3'
_cell_length_a 3.2007
_cell_length_b 4.5877
_cell_length_c 6.3807
_cell_angle_alpha 90.00
_cell_angle_beta 90.00
_cell_angle_gamma 90.00
_space_group_name_H-M_alt 'P m m m'
_space_group_IT_number 47
loop_
_space_group_symop_operation_xyz
'x,y,z'
'-x,-y,-z'
'-x,-y,z'
'x,y,-z'
'x,-y,-z'
'-x,y,z'
'-x,y,-z'
'x,-y,z'
loop_
_atom_site_label
_atom_site_fract_x
_atom_site_fract_y
_atom_site_fract_z
_atom_site_occupancy
Mg1 0.0000 0.0000 0.0000 1
Sc1 0.0000 0.0000 0.5000 1
Sc2 0.5000 0.5000 0.2560 1
```

***

#x
Density functional theory data (PBEsol) for a relaxed MgSc3 crystal.

Size of the total moment (μB/cell): 0.002
Calculated volume (Å³/atom): 23.57

The structure in CIF format:
```
data_MgSc3
_chemical_formula_sum 'Mg1 Sc3'
_cell_length_a 3.2145
_cell_length_b 3.2145
_cell_length_c 10.5350
_cell_angle_alpha 90.00
_cell_angle_beta 90.00
_cell_angle_gamma 120.00
_space_group_name_H-M_alt 'P -6 m 2'
_space_group_IT_number 187
_space_group_name_Hall 'P -6 2'
loop_
_atom_site_label
_atom_site_fract_x
_atom_site_fract_y
_atom_site_fract_z
_atom_site_occupancy
Mg1 0.0000 0.0000 0.0000 1
Sc1 0.0000 0.0000 0.5000 1
Sc2 0.3333 0.6667 0.2586 1
```

***

Most stable: #x. Least stable: #w.

***

#w
Density functional theory data (PBEsol) for a relaxed YBeTl crystal.

Size of the total moment (μB/cell): 0.000
Calculated volume (Å³/atom): 20.42

The structure in CIF format:
```
data_YBeTl
_chemical_formula_sum 'Y1 Be1 Tl1'
_cell_length_a 4.3590
_cell_length_b 4.3590
_cell_length_c 3.7229
_cell_angle_alpha 90.00
_cell_angle_beta 90.00
_cell_angle_gamma 120.00
_space_group_name_H-M_alt 'P -6 m 2'
_space_group_IT_number 187
_space_group_name_Hall 'P -6 2'
loop_
_atom_site_label
_atom_site_fract_x
_atom_site_fract_y
_atom_site_fract_z
_atom_site_occupancy
Y1 0.0000 0.0000 0.0000 1
Be1 0.3333 0.6667 0.5000 1
Tl1 0.6667 0.3333 0.5000 1
```

***

#x
Density functional theory data (PBEsol) for a relaxed YBeTl crystal.

Size of the total moment (μB/cell): 0.000
Calculated volume (Å³/atom): 23.55

The structure in CIF format:
```
data_YBeTl
_chemical_formula_sum 'Y4 Be4 Tl4'
_cell_length_a 6.5620
_cell_length_b 6.5620
_cell_length_c 6.5620
_cell_angle_alpha 90.00
_cell_angle_beta 90.00
_cell_angle_gamma 90.00
_space_group_name_H-M_alt 'F -4 3 m'
_space_group_IT_number 216
_space_group_name_Hall 'F -4 2 3'
loop_
_atom_site_label
_atom_site_fract_x
_atom_site_fract_y
_atom_site_fract_z
_atom_site_occupancy
Y1 0.0000 0.0000 0.0000 1
Be1 0.0000 0.0000 0.5000 1
Tl1 0.2500 0.2500 0.7500 1
```

***

Most stable: #w. Least stable: #x.

***

#w
Density functional theory data (PBEsol) for a relaxed MgReMo crystal.

Size of the total moment (μB/cell): 0.000
Calculated volume (Å³/atom): 16.07

The structure in CIF format:
```
data_MgReMo
_chemical_formula_sum 'Mg1 Re1 Mo1'
_cell_length_a 2.8485
_cell_length_b 2.8485
_cell_length_c 6.8591
_cell_angle_alpha 90.00
_cell_angle_beta 90.00
_cell_angle_gamma 120.00
_space_group_name_H-M_alt 'P 3 m 1'
_space_group_IT_number 156
loop_
_space_group_symop_operation_xyz
'x,y,z'
'-y,x-y,z'
'-x+y,-x,z'
'-y,-x,z'
'-x+y,y,z'
'x,x-y,z'
loop_
_atom_site_label
_atom_site_fract_x
_atom_site_fract_y
_atom_site_fract_z
_atom_site_occupancy
Mg1 0.0000 0.0000 0.0000 1
Re1 0.6667 0.3333 0.3428 1
Mo1 0.3333 0.6667 0.6382 1
```

***

#x
Density functional theory data (PBEsol) for a relaxed MgReMo crystal.

Size of the total moment (μB/cell): 0.002
Calculated volume (Å³/atom): 18.32

The structure in CIF format:
```
data_MgReMo
_chemical_formula_sum 'Mg4 Re4 Mo4'
_cell_length_a 6.0355
_cell_length_b 6.0355
_cell_length_c 6.0355
_cell_angle_alpha 90.00
_cell_angle_beta 90.00
_cell_angle_gamma 90.00
_space_group_name_H-M_alt 'F -4 3 m'
_space_group_IT_number 216
_space_group_name_Hall 'F -4 2 3'
loop_
_atom_site_label
_atom_site_fract_x
_atom_site_fract_y
_atom_site_fract_z
_atom_site_occupancy
Mg1 0.0000 0.0000 0.0000 1
Re1 0.2500 0.2500 0.2500 1
Mo1 0.0000 0.0000 0.5000 1
```

***

Most stable: #w. Least stable: #x.